# 1
The following is a PBE calculation of Ga4Hg11P4Cl16 after structural relaxation, from OQMD.

Cell: 7.5210 7.5210 22.5644 Å, 99.07 99.07 59.93°
Atoms (fractional coordinates):
Ga: 0.1306 0.1306 0.3870
Ga: 0.2881 0.2881 0.8844
Ga: 0.7119 0.7119 0.1156
Ga: 0.8694 0.8694 0.6130
Hg: 0.0216 0.0216 0.0595
Hg: 0.2444 0.7439 0.2198
Hg: 0.2445 0.2445 0.2190
Hg: 0.2561 0.7556 0.7802
Hg: 0.4611 0.4611 0.3805
Hg: 0.5000 0.5000 0.5000
Hg: 0.5389 0.5389 0.6195
Hg: 0.7439 0.2444 0.2198
Hg: 0.7555 0.7555 0.7810
Hg: 0.7556 0.2561 0.7802
Hg: 0.9784 0.9784 0.9405
P: 0.0624 0.0624 0.1717
P: 0.4254 0.4254 0.2669
P: 0.5746 0.5746 0.7331
P: 0.9376 0.9376 0.8283
Cl: 0.0250 0.5419 0.0860
Cl: 0.0387 0.0387 0.6515
Cl: 0.0389 0.5666 0.6514
Cl: 0.1609 0.1609 0.4844
Cl: 0.2570 0.2570 0.7846
Cl: 0.4334 0.9611 0.3486
Cl: 0.4582 0.4582 0.9145
Cl: 0.4581 0.9750 0.9140
Cl: 0.5419 0.0250 0.0860
Cl: 0.5418 0.5418 0.0855
Cl: 0.5666 0.0389 0.6514
Cl: 0.7430 0.7430 0.2154
Cl: 0.8391 0.8391 0.5156
Cl: 0.9611 0.4334 0.3486
Cl: 0.9613 0.9613 0.3485
Cl: 0.9750 0.4581 0.9140

For the calculated total energy, the calculation gives -2.608 eV/atom.

=====

# 2
The following is a PBE calculation of K2HfH6O6 after structural relaxation, from OQMD.

Cell: 5.8595 5.8595 5.8595 Å, 66.23 66.23 66.23°
Atoms (fractional coordinates):
K: 0.1678 0.1678 0.1678
K: 0.8322 0.8322 0.8322
Hf: 0.5000 0.5000 0.5000
H: 0.0646 0.6249 0.3395
H: 0.3395 0.0646 0.6249
H: 0.3751 0.6605 0.9354
H: 0.6249 0.3395 0.0646
H: 0.6605 0.9354 0.3751
H: 0.9354 0.3751 0.6605
O: 0.1507 0.6857 0.4055
O: 0.3143 0.5945 0.8493
O: 0.4055 0.1507 0.6857
O: 0.5945 0.8493 0.3143
O: 0.6857 0.4055 0.1507
O: 0.8493 0.3143 0.5945

The value obtained for the size of the total moment is 0.00 μB per cell. For the calculated total energy, the calculation gives -5.784 eV/atom.

=====

# 3
The following is a PBE calculation of Al2PdPt after structural relaxation, from OQMD.

Cell: 4.9049 4.9029 4.9080 Å, 90.00 90.41 90.00°
Atoms (fractional coordinates):
Al: 0.0930 0.0000 0.1556
Al: 0.4045 0.8118 0.6555
Al: 0.5955 0.3118 0.3445
Al: 0.9070 0.5000 0.8444
Pd: 0.4023 0.3048 0.8508
Pd: 0.5977 0.8048 0.1492
Pt: 0.1022 0.5040 0.3479
Pt: 0.8978 0.0040 0.6521

The value obtained for the size of the total moment is 0.00 μB per cell. For the calculated total energy, the calculation gives -5.675 eV/atom.

=====

# 4
The following is a PBE calculation of AsPAuO after structural relaxation, from OQMD.

Cell: 3.8210 3.8210 8.8111 Å, 90.00 90.00 90.00°
Atoms (fractional coordinates):
As: 0.2500 0.2500 0.1163
As: 0.7500 0.7500 0.8837
P: 0.2500 0.2500 0.6999
P: 0.7500 0.7500 0.3001
Au: 0.2500 0.7500 0.5000
Au: 0.7500 0.2500 0.5000
O: 0.2500 0.7500 0.0000
O: 0.7500 0.2500 0.0000

Its energy above the most stable polymorph in this dataset is 22.87 kJ/mol of atoms. For the calculated total energy, the calculation gives -4.497 eV/atom.